A plane-wave DFT calculation with PBE+U was carried out for an optimized crystal structure of KTl2MoF6.

The uncorrected energy is -4.76 eV per atom. The magnetic moment is 12.0 Bohr magnetons per cell. As for the energy relative to the lowest polymorph listed for this composition: 29 meV/atom.

It has space group Fm-3m (No. 225), with a = 9.2517 Å, b = 9.2517 Å, c = 9.2517 Å, α = 90.00°, β = 90.00° and γ = 90.00°. The inequivalent atoms are K at (0.0000, 0.0000, 0.0000), Tl at (0.2500, 0.2500, 0.2500), Mo at (0.0000, 0.0000, 0.5000) and F at (0.0000, 0.0000, 0.2734).